# 1
A plane-wave DFT calculation with PBE was carried out for an optimized crystal structure of Li2TaSb.

Final energy (eV/f.u.): -18.00
V (Å³/cell): 302.56
Magnetic moment (μB per formula unit): 0.0
Formation energy (no corrections) (eV per atom): 0.4505

Unit cell a=7.465 b=7.465 c=5.429 alpha=90.00 beta=90.00 gamma=90.00
Space group I-42d (No. 122)
Symmetry-distinct sites (fractional):
Li 0.232 0.250 0.125 [8 per cell]
Ta 0.000 0.000 0.500 [4 per cell]
Sb 0.000 0.000 0.000 [4 per cell]

=====

# 2
A plane-wave DFT calculation with PBE was carried out for an optimized crystal structure of SbAs2Pb.

Final energy (eV/f.u.): -16.45
V (Å³/cell): 198.17
Magnetic moment (μB per formula unit): 0.0
Formation energy (no corrections) (eV per atom): 0.1687
E above lowest polymorph (eV/atom): 0.135

Unit cell a=3.590 b=5.364 c=10.292 alpha=90.00 beta=90.00 gamma=90.00
Space group Imm2 (No. 44)
Symmetry-distinct sites (fractional):
Sb 0.000 0.000 0.000 [2 per cell]
As 0.000 0.000 0.571 [2 per cell]
As 0.000 0.500 0.254 [2 per cell]
Pb 0.000 0.500 0.786 [2 per cell]

=====

# 3
A plane-wave DFT calculation with PBE was carried out for an optimized crystal structure of Th4TcTe2As.

Final energy (eV/f.u.): -58.49
V (Å³/cell): 238.61
Magnetic moment (μB per formula unit): 0.0
Formation energy (no corrections) (eV per atom): -0.9395

Unit cell a=7.582 b=4.215 c=7.837 alpha=90.00 beta=107.66 gamma=90.00
Space group P2/m (No. 10)
Symmetry-distinct sites (fractional):
Th 0.217 0.000 0.204 [2 per cell]
Th 0.249 0.500 0.788 [2 per cell]
Tc 0.000 0.500 0.000 [1 per cell]
Te 0.000 0.000 0.500 [1 per cell]
Te 0.500 0.500 0.500 [1 per cell]
As 0.500 0.000 0.000 [1 per cell]